A geometry-optimized RbBaW structure, computed with PBE.

```
data_RbBaW
_space_group_name_H-M_alt 'F -4 3 m'
_space_group_IT_number 216
_space_group_name_Hall 'F -4 2 3'
_cell_length_a 8.4387
_cell_length_b 8.4387
_cell_length_c 8.4387
_cell_angle_alpha 90.00
_cell_angle_beta 90.00
_cell_angle_gamma 90.00
loop_
_atom_site_label
_atom_site_type_symbol
_atom_site_fract_x
_atom_site_fract_y
_atom_site_fract_z
Rb1 Rb 0.0000 0.0000 0.0000
Ba1 Ba 0.0000 0.0000 0.5000
W1 W 0.2500 0.2500 0.7500
```

Values from the calculation:
**Energy above the most stable polymorph in this dataset**: 0 meV/atom


A geometry-optimized RbBaZn structure, computed with PBE.

```
data_RbBaZn
_space_group_name_H-M_alt 'F -4 3 m'
_space_group_IT_number 216
_space_group_name_Hall 'F -4 2 3'
_cell_length_a 8.4427
_cell_length_b 8.4427
_cell_length_c 8.4427
_cell_angle_alpha 90.00
_cell_angle_beta 90.00
_cell_angle_gamma 90.00
loop_
_atom_site_label
_atom_site_type_symbol
_atom_site_fract_x
_atom_site_fract_y
_atom_site_fract_z
Rb1 Rb 0.0000 0.0000 0.0000
Ba1 Ba 0.2500 0.2500 0.2500
Zn1 Zn 0.0000 0.0000 0.5000
```

Values from the calculation:
**Energy above the most stable polymorph in this dataset**: 0 meV/atom


A geometry-optimized BaRe structure, computed with PBE.

```
data_BaRe
_space_group_name_H-M_alt 'F m -3 m'
_space_group_IT_number 225
_space_group_name_Hall '-F 4 2 3'
_cell_length_a 6.5562
_cell_length_b 6.5562
_cell_length_c 6.5562
_cell_angle_alpha 90.00
_cell_angle_beta 90.00
_cell_angle_gamma 90.00
loop_
_atom_site_label
_atom_site_type_symbol
_atom_site_fract_x
_atom_site_fract_y
_atom_site_fract_z
Ba1 Ba 0.0000 0.0000 0.0000
Re1 Re 0.0000 0.0000 0.5000
```

Values from the calculation:
**Energy above the most stable polymorph in this dataset**: 490 meV/atom


A geometry-optimized BaRe structure, computed with PBE.

```
data_BaRe
_space_group_name_H-M_alt 'F -4 3 m'
_space_group_IT_number 216
_space_group_name_Hall 'F -4 2 3'
_cell_length_a 7.1713
_cell_length_b 7.1713
_cell_length_c 7.1713
_cell_angle_alpha 90.00
_cell_angle_beta 90.00
_cell_angle_gamma 90.00
loop_
_atom_site_label
_atom_site_type_symbol
_atom_site_fract_x
_atom_site_fract_y
_atom_site_fract_z
Ba1 Ba 0.0000 0.0000 0.0000
Re1 Re 0.2500 0.2500 0.7500
```

Values from the calculation:
**Energy above the most stable polymorph in this dataset**: 945 meV/atom


A geometry-optimized BaRe structure, computed with PBE.

```
data_BaRe
_space_group_name_H-M_alt 'P 63 m c'
_space_group_IT_number 186
_space_group_name_Hall 'P 6c -2c'
_cell_length_a 5.2779
_cell_length_b 5.2779
_cell_length_c 6.5720
_cell_angle_alpha 90.00
_cell_angle_beta 90.00
_cell_angle_gamma 120.00
loop_
_atom_site_label
_atom_site_type_symbol
_atom_site_fract_x
_atom_site_fract_y
_atom_site_fract_z
Ba1 Ba 0.3333 0.6667 0.0000
Re1 Re 0.3333 0.6667 0.4986
```

Values from the calculation:
**Energy above the most stable polymorph in this dataset**: 800 meV/atom


A geometry-optimized BaRe structure, computed with PBE.

```
data_BaRe
_space_group_name_H-M_alt 'P -6 m 2'
_space_group_IT_number 187
_space_group_name_Hall 'P -6 2'
_cell_length_a 3.0832
_cell_length_b 3.0832
_cell_length_c 5.8070
_cell_angle_alpha 90.00
_cell_angle_beta 90.00
_cell_angle_gamma 120.00
loop_
_atom_site_label
_atom_site_type_symbol
_atom_site_fract_x
_atom_site_fract_y
_atom_site_fract_z
Ba1 Ba 0.0000 0.0000 0.0000
Re1 Re 0.6667 0.3333 0.5000
```

Values from the calculation:
**Energy above the most stable polymorph in this dataset**: 0 meV/atom


A geometry-optimized BaRe3 structure, computed with PBE.

```
data_BaRe3
_space_group_name_H-M_alt 'P 63/m m c'
_space_group_IT_number 194
_space_group_name_Hall '-P 6c 2c'
_cell_length_a 7.1092
_cell_length_b 7.1092
_cell_length_c 4.3121
_cell_angle_alpha 90.00
_cell_angle_beta 90.00
_cell_angle_gamma 120.00
loop_
_atom_site_label
_atom_site_type_symbol
_atom_site_fract_x
_atom_site_fract_y
_atom_site_fract_z
Ba1 Ba 0.3333 0.6667 0.2500
Re1 Re 0.1188 0.2375 0.7500
```

Values from the calculation:
**E**: -0.6499 Ry/atom


A geometry-optimized Ba2Re6S11 structure, computed with PBE.

```
data_Ba2Re6S11
_space_group_name_H-M_alt 'R -3 c'
_space_group_IT_number 167
_space_group_name_Hall '-R 3 2"c'
_cell_length_a 9.2465
_cell_length_b 9.2465
_cell_length_c 32.2918
_cell_angle_alpha 90.00
_cell_angle_beta 90.00
_cell_angle_gamma 120.00
loop_
_atom_site_label
_atom_site_type_symbol
_atom_site_fract_x
_atom_site_fract_y
_atom_site_fract_z
Ba1 Ba 0.0000 0.0000 0.1884
Re1 Re 0.0225 0.1737 0.4663
S1 S 0.0000 0.0000 0.0907
S2 S 0.0000 0.2670 0.7500
S3 S 0.0116 0.3873 0.1969
```

Values from the calculation:
**E**: -0.5435 Ry/atom


A geometry-optimized Ba4ReSb2 structure, computed with PBE.

```
data_Ba4ReSb2
_space_group_name_H-M_alt 'I 4/m m m'
_space_group_IT_number 139
_space_group_name_Hall '-I 4 2'
_cell_length_a 5.6358
_cell_length_b 5.6358
_cell_length_c 18.2684
_cell_angle_alpha 90.00
_cell_angle_beta 90.00
_cell_angle_gamma 90.00
loop_
_atom_site_label
_atom_site_type_symbol
_atom_site_fract_x
_atom_site_fract_y
_atom_site_fract_z
Ba1 Ba 0.0000 0.0000 0.1761
Ba2 Ba 0.0000 0.5000 0.0000
Re1 Re 0.0000 0.0000 0.0000
Sb1 Sb 0.0000 0.0000 0.3639
```

Values from the calculation:
**E**: -0.2967 Ry/atom


A geometry-optimized Ba3Re2Sb4 structure, computed with PBE.

```
data_Ba3Re2Sb4
_space_group_name_H-M_alt 'C 1 2/m 1'
_space_group_IT_number 12
_cell_length_a 18.3874
_cell_length_b 4.2148
_cell_length_c 8.4985
_cell_angle_alpha 90.00
_cell_angle_beta 117.17
_cell_angle_gamma 90.00
loop_
_space_group_symop_operation_xyz
'x,y,z'
'-x,-y,-z'
'-x,y,-z'
'x,-y,z'
'x+1/2,y+1/2,z'
'-x+1/2,-y+1/2,-z'
'-x+1/2,y+1/2,-z'
'x+1/2,-y+1/2,z'
loop_
_atom_site_label
_atom_site_type_symbol
_atom_site_fract_x
_atom_site_fract_y
_atom_site_fract_z
Ba1 Ba 0.0000 0.0000 0.0000
Ba2 Ba 0.1350 0.0000 0.7165
Re1 Re 0.2048 0.5000 0.4364
Sb1 Sb 0.0442 0.5000 0.3503
Sb2 Sb 0.2028 0.0000 0.2119
```

Values from the calculation:
**E**: -0.4108 Ry/atom


A geometry-optimized Ba3ReSb structure, computed with PBE.

```
data_Ba3ReSb
_space_group_name_H-M_alt 'P 63/m m c'
_space_group_IT_number 194
_space_group_name_Hall '-P 6c 2c'
_cell_length_a 9.7303
_cell_length_b 9.7303
_cell_length_c 4.9876
_cell_angle_alpha 90.00
_cell_angle_beta 90.00
_cell_angle_gamma 120.00
loop_
_atom_site_label
_atom_site_type_symbol
_atom_site_fract_x
_atom_site_fract_y
_atom_site_fract_z
Ba1 Ba 0.1862 0.3725 0.2500
Re1 Re 0.0000 0.0000 0.0000
Sb1 Sb 0.3333 0.6667 0.7500
```

Values from the calculation:
**E**: -0.3311 Ry/atom


A geometry-optimized Ba2ScRe structure, computed with PBE.

```
data_Ba2ScRe
_space_group_name_H-M_alt 'F -4 3 m'
_space_group_IT_number 216
_space_group_name_Hall 'F -4 2 3'
_cell_length_a 7.6623
_cell_length_b 7.6623
_cell_length_c 7.6623
_cell_angle_alpha 90.00
_cell_angle_beta 90.00
_cell_angle_gamma 90.00
loop_
_atom_site_label
_atom_site_type_symbol
_atom_site_fract_x
_atom_site_fract_y
_atom_site_fract_z
Ba1 Ba 0.0000 0.0000 0.0000
Ba2 Ba 0.2500 0.2500 0.2500
Sc1 Sc 0.2500 0.2500 0.7500
Re1 Re 0.0000 0.0000 0.5000
```

Values from the calculation:
**E**: -0.3441 Ry/atom


Q: Number 12 is which compound?
A: Ba2ScRe